Entry from Alexandria via LeMat-Bulk: a relaxed BaNbVO6 crystal (PBE with a Hubbard U).

POSCAR file:
```
BaNbVO6
1.0
-4.411 -1.845 -2.245
-3.013 -3.491 2.575
-3.001 4.320 2.345
O Nb Ba V
6 1 1 1
Direct
0.619 0.397 0.694 O
0.397 0.984 0.694 O
0.989 0.407 0.305 O
0.605 0.989 0.305 O
0.406 0.605 0.305 O
0.984 0.619 0.694 O
0.333 0.333 0.544 Nb
0.000 0.000 0.002 Ba
0.667 0.667 0.458 V
```

M_tot = 0.0 μB/f.u.
Calculated volume = 139.2 Å³/cell
Space group = P3
Final energy = -71.5 eV/f.u.